Record 1
PBE Dy2Ho3Hg7, optimized geometry; formation energy from the elements = -298 meV/atom; ρ = 11.5 Mg/m³
1.0
2.587 -11.446 0.000
2.587 11.446 0.000
0.000 0.000 5.409
Dy Ho Hg
2 3 7
Cartesian
2.587 8.137 0.000
2.587 -8.137 0.000
2.587 3.774 2.704
2.587 0.000 2.704
2.587 -3.774 2.704
0.000 0.000 0.000
2.587 9.536 2.704
2.587 5.074 0.000
2.587 1.717 0.000
2.587 -1.717 0.000
2.587 -5.074 0.000
2.587 -9.536 2.704


Record 2
PBE HfSnBi, optimized geometry; formation energy from the elements = -193 meV/atom; ΔE to the lowest computed polymorph = 0.000 eV per atom; ρ = 11.2 Mg/m³
1.0
4.121 0.000 0.000
0.000 4.121 0.000
0.000 0.000 8.874
Hf Sn Bi
2 2 2
Cartesian
1.030 1.030 2.139
3.091 3.091 6.735
1.030 3.091 4.437
3.091 1.030 4.437
1.030 1.030 7.815
3.091 3.091 1.059


Which value of ρ does entry 1 give? 11.5 Mg/m³


Which of these has the highest formation energy from the elements? HfSnBi